# Ta2TiAgH | the Alexandria database | GGA-PBE | optimized geometry
data_Ta2TiAgH
_symmetry_space_group_name_H-M 'P 4/m m m'
_symmetry_Int_Tables_number 123
_symmetry_space_group_name_Hall '-P 4 2'
_cell_length_a 4.0924
_cell_length_b 4.0924
_cell_length_c 4.3230
_cell_angle_alpha 90.00
_cell_angle_beta 90.00
_cell_angle_gamma 90.00
loop_
_atom_site_label
_atom_site_fract_x
_atom_site_fract_y
_atom_site_fract_z
Ta1 0.0000 0.5000 0.0000
Ti1 0.0000 0.0000 0.5000
Ag1 0.5000 0.5000 0.5000
H1 0.0000 0.0000 0.0000
# DOS(E_F)	4.856	states/eV/f.u.
# VASP energy	-7.4819	eV/atom

---

# RbMg2Zr | the Alexandria database | GGA-PBE | optimized geometry
data_RbMg2Zr
_symmetry_space_group_name_H-M 'I -4 2 d'
_symmetry_Int_Tables_number 122
_symmetry_space_group_name_Hall 'I -4 2bw'
_cell_length_a 8.8488
_cell_length_b 8.8488
_cell_length_c 6.9208
_cell_angle_alpha 90.00
_cell_angle_beta 90.00
_cell_angle_gamma 90.00
loop_
_atom_site_label
_atom_site_fract_x
_atom_site_fract_y
_atom_site_fract_z
Rb1 0.0000 0.0000 0.0000
Mg1 0.2120 0.2500 0.6250
Zr1 0.0000 0.0000 0.5000
# distance to the lowest polymorph of the same formula	205	meV per atom
# DOS(E_F)	4.183	states/eV/f.u.
# energy of formation	922.7	meV/atom
# VASP energy	-2.2535	eV/atom